# 1
# SiAsPSe2 (PBE, relaxed)
data_SiAsPSe2
_chemical_formula_sum 'Si1 As1 P1 Se2'
_cell_length_a 4.734
_cell_length_b 4.734
_cell_length_c 4.824
_cell_angle_alpha 90.00
_cell_angle_beta 90.00
_cell_angle_gamma 90.00
_space_group_name_H-M_alt 'P 4/m m m'
_space_group_IT_number 123
_space_group_name_Hall '-P 4 2'
loop_
_atom_site_label
_atom_site_type_symbol
_atom_site_fract_x
_atom_site_fract_y
_atom_site_fract_z
_atom_site_occupancy
Si1 Si 0.000 0.000 0.000 1
As1 As 0.000 0.000 0.500 1
P1 P 0.500 0.500 0.500 1
Se1 Se 0.000 0.500 0.000 1
# Calculated volume in Å³ per atom: 21.62
# Magnetic moment in Bohr magnetons per cell: 0.00
# Energy above the most stable polymorph in this dataset in eV/atom: 0.161
# Formation energy (no corrections) in eV per atom: 0.798
# ρ in g/cm³: 4.5

***

# 2
# Sm8As3PSe4 (PBE, relaxed)
data_Sm8As3PSe4
_chemical_formula_sum 'Sm24 As9 P3 Se12'
_cell_length_a 8.3481
_cell_length_b 8.3481
_cell_length_c 20.6446
_cell_angle_alpha 90.00
_cell_angle_beta 90.00
_cell_angle_gamma 120.00
_space_group_name_H-M_alt 'R -3 m'
_space_group_IT_number 166
_space_group_name_Hall '-R 3 2"'
loop_
_atom_site_label
_atom_site_type_symbol
_atom_site_fract_x
_atom_site_fract_y
_atom_site_fract_z
_atom_site_occupancy
Sm1 Sm 0.0000 0.0000 0.2463 1
Sm2 Sm 0.0051 0.5025 0.2451 1
As1 As 0.0000 0.5000 0.5000 1
P1 P 0.0000 0.0000 0.5000 1
Se1 Se 0.0000 0.0000 0.0000 1
Se2 Se 0.0000 0.5000 0.0000 1
# Calculated volume in Å³ per atom: 25.96
# Magnetic moment in Bohr magnetons per cell: 0.00
# Formation energy (no corrections) in eV per atom: -1.746
# ρ in g/cm³: 7.1

***

# 3
# Sm8AsP3Se4 (PBE, relaxed)
data_Sm8AsP3Se4
_chemical_formula_sum 'Sm24 As3 P9 Se12'
_cell_length_a 8.2733
_cell_length_b 8.2733
_cell_length_c 20.6046
_cell_angle_alpha 90.00
_cell_angle_beta 90.00
_cell_angle_gamma 120.00
_space_group_name_H-M_alt 'R -3 m'
_space_group_IT_number 166
_space_group_name_Hall '-R 3 2"'
loop_
_atom_site_label
_atom_site_type_symbol
_atom_site_fract_x
_atom_site_fract_y
_atom_site_fract_z
_atom_site_occupancy
Sm1 Sm 0.0000 0.0000 0.2432 1
Sm2 Sm 0.0048 0.5024 0.7558 1
As1 As 0.0000 0.0000 0.5000 1
P1 P 0.0000 0.5000 0.5000 1
Se1 Se 0.0000 0.0000 0.0000 1
Se2 Se 0.0000 0.5000 0.0000 1
# Calculated volume in Å³ per atom: 25.45
# Magnetic moment in Bohr magnetons per cell: 0.00
# Formation energy (no corrections) in eV per atom: -1.773
# ρ in g/cm³: 6.9

***

# 4
# Sm4AsP2Se (PBE, relaxed)
data_Sm4AsP2Se
_chemical_formula_sum 'Sm4 As1 P2 Se1'
_cell_length_a 7.178
_cell_length_b 4.145
_cell_length_c 7.205
_cell_angle_alpha 90.00
_cell_angle_beta 109.30
_cell_angle_gamma 90.00
_space_group_name_H-M_alt 'P 1 2/m 1'
_space_group_IT_number 10
_space_group_name_Hall '-P 2y'
loop_
_atom_site_label
_atom_site_type_symbol
_atom_site_fract_x
_atom_site_fract_y
_atom_site_fract_z
_atom_site_occupancy
Sm1 Sm 0.241 0.000 0.237 1
Sm2 Sm 0.250 0.500 0.760 1
As1 As 0.000 0.000 0.500 1
P1 P 0.000 0.500 0.000 1
P2 P 0.500 0.000 0.000 1
Se1 Se 0.500 0.500 0.500 1
# Calculated volume in Å³ per atom: 25.29
# Magnetic moment in Bohr magnetons per cell: 0.00
# Formation energy (no corrections) in eV per atom: -1.690
# ρ in g/cm³: 6.7

***

# 5
# Sm8As4PSe3 (PBE, relaxed)
data_Sm8As4PSe3
_chemical_formula_sum 'Sm24 As12 P3 Se9'
_cell_length_a 8.3819
_cell_length_b 8.3819
_cell_length_c 20.5090
_cell_angle_alpha 90.00
_cell_angle_beta 90.00
_cell_angle_gamma 120.00
_space_group_name_H-M_alt 'R -3 m'
_space_group_IT_number 166
_space_group_name_Hall '-R 3 2"'
loop_
_atom_site_label
_atom_site_type_symbol
_atom_site_fract_x
_atom_site_fract_y
_atom_site_fract_z
_atom_site_occupancy
Sm1 Sm 0.0000 0.0000 0.2466 1
Sm2 Sm 0.0077 0.5039 0.7510 1
As1 As 0.0000 0.0000 0.5000 1
As2 As 0.0000 0.5000 0.5000 1
P1 P 0.0000 0.0000 0.0000 1
Se1 Se 0.0000 0.5000 0.0000 1
# Calculated volume in Å³ per atom: 26.00
# Magnetic moment in Bohr magnetons per cell: 0.00
# Formation energy (no corrections) in eV per atom: -1.703
# ρ in g/cm³: 7.1

***

# 6
# Sr6As2PSe (PBE, relaxed)
data_Sr6As2PSe
_chemical_formula_sum 'Sr12 As4 P2 Se2'
_cell_length_a 7.510
_cell_length_b 8.289
_cell_length_c 13.386
_cell_angle_alpha 90.00
_cell_angle_beta 123.63
_cell_angle_gamma 90.00
_space_group_name_H-M_alt 'P 1 21/c 1'
_space_group_IT_number 14
_space_group_name_Hall '-P 2ybc'
loop_
_atom_site_label
_atom_site_type_symbol
_atom_site_fract_x
_atom_site_fract_y
_atom_site_fract_z
_atom_site_occupancy
Sr1 Sr 0.090 0.066 0.244 1
Sr2 Sr 0.256 0.695 0.079 1
Sr3 Sr 0.392 0.182 0.077 1
As1 As 0.293 0.094 0.750 1
P1 P 0.000 0.000 0.000 1
Se1 Se 0.500 0.000 0.500 1
# Calculated volume in Å³ per atom: 34.69
# Magnetic moment in Bohr magnetons per cell: 1.81
# Formation energy (no corrections) in eV per atom: -1.178
# ρ in g/cm³: 3.8

***

# 7
# SrAs2PSe (PBE, relaxed)
data_SrAs2PSe
_chemical_formula_sum 'Sr1 As2 P1 Se1'
_cell_length_a 4.987
_cell_length_b 4.987
_cell_length_c 5.748
_cell_angle_alpha 90.00
_cell_angle_beta 90.00
_cell_angle_gamma 90.00
_space_group_name_H-M_alt 'P 4/m m m'
_space_group_IT_number 123
_space_group_name_Hall '-P 4 2'
loop_
_atom_site_label
_atom_site_type_symbol
_atom_site_fract_x
_atom_site_fract_y
_atom_site_fract_z
_atom_site_occupancy
Sr1 Sr 0.000 0.000 0.000 1
As1 As 0.000 0.500 0.500 1
P1 P 0.500 0.500 0.000 1
Se1 Se 0.000 0.000 0.500 1
# Calculated volume in Å³ per atom: 28.60
# Magnetic moment in Bohr magnetons per cell: 0.00
# Energy above the most stable polymorph in this dataset in eV/atom: 0.535
# Formation energy (no corrections) in eV per atom: 0.331
# ρ in g/cm³: 4.0

***

# 8
# SrAs2PSe (PBE, relaxed)
data_SrAs2PSe
_chemical_formula_sum 'Sr1 As2 P1 Se1'
_cell_length_a 5.685
_cell_length_b 5.685
_cell_length_c 5.540
_cell_angle_alpha 90.00
_cell_angle_beta 90.00
_cell_angle_gamma 90.00
_space_group_name_H-M_alt 'P 4/m m m'
_space_group_IT_number 123
_space_group_name_Hall '-P 4 2'
loop_
_atom_site_label
_atom_site_type_symbol
_atom_site_fract_x
_atom_site_fract_y
_atom_site_fract_z
_atom_site_occupancy
Sr1 Sr 0.000 0.000 0.000 1
As1 As 0.000 0.500 0.000 1
P1 P 0.500 0.500 0.500 1
Se1 Se 0.000 0.000 0.500 1
# Calculated volume in Å³ per atom: 35.81
# Magnetic moment in Bohr magnetons per cell: 0.50
# Energy above the most stable polymorph in this dataset in eV/atom: 1.502
# Formation energy (no corrections) in eV per atom: 1.298
# ρ in g/cm³: 3.2

***

# 9
# Sr2AsPSe (PBE, relaxed)
data_Sr2AsPSe
_chemical_formula_sum 'Sr2 As1 P1 Se1'
_cell_length_a 5.772
_cell_length_b 5.772
_cell_length_c 4.982
_cell_angle_alpha 90.00
_cell_angle_beta 90.00
_cell_angle_gamma 90.00
_space_group_name_H-M_alt 'P 4/m m m'
_space_group_IT_number 123
_space_group_name_Hall '-P 4 2'
loop_
_atom_site_label
_atom_site_type_symbol
_atom_site_fract_x
_atom_site_fract_y
_atom_site_fract_z
_atom_site_occupancy
Sr1 Sr 0.000 0.500 0.000 1
As1 As 0.000 0.000 0.500 1
P1 P 0.500 0.500 0.500 1
Se1 Se 0.000 0.000 0.000 1
# Calculated volume in Å³ per atom: 33.20
# Magnetic moment in Bohr magnetons per cell: 0.00
# Formation energy (no corrections) in eV per atom: -0.362
# ρ in g/cm³: 3.6

***

# 10
# Sr6AsP2Se (PBE, relaxed)
data_Sr6AsP2Se
_chemical_formula_sum 'Sr12 As2 P4 Se2'
_cell_length_a 7.453
_cell_length_b 8.120
_cell_length_c 13.552
_cell_angle_alpha 90.00
_cell_angle_beta 122.05
_cell_angle_gamma 90.00
_space_group_name_H-M_alt 'P 1 21/c 1'
_space_group_IT_number 14
_space_group_name_Hall '-P 2ybc'
loop_
_atom_site_label
_atom_site_type_symbol
_atom_site_fract_x
_atom_site_fract_y
_atom_site_fract_z
_atom_site_occupancy
Sr1 Sr 0.081 0.076 0.246 1
Sr2 Sr 0.277 0.694 0.093 1
Sr3 Sr 0.401 0.186 0.086 1
As1 As 0.000 0.000 0.000 1
P1 P 0.302 0.092 0.753 1
Se1 Se 0.500 0.000 0.500 1
# Calculated volume in Å³ per atom: 34.75
# Magnetic moment in Bohr magnetons per cell: 1.74
# Formation energy (no corrections) in eV per atom: -1.122
# ρ in g/cm³: 3.5

***

What are the raw total energy values for these records? In order: -18.46 -296.97 -302.83 -51.35 -298.38 -80.13 -18.22 -13.39 -18.72 -80.52 eV per cell.